Entry 1:
# TlPt, optimized geometry, DFT PBE
data_TlPt
_cell_length_a 3.959
_cell_length_b 3.959
_cell_length_c 3.959
_cell_angle_alpha 60.00
_cell_angle_beta 60.00
_cell_angle_gamma 60.00
_symmetry_space_group_name_H-M 'P 1'
_symmetry_Int_Tables_number 1
_symmetry_space_group_name_Hall 'P 1'
loop_
_atom_site_label
_atom_site_type_symbol
_atom_site_fract_x
_atom_site_fract_y
_atom_site_fract_z
Pt1 Pt 0.000 0.000 0.000
Tl1 Tl 0.500 0.500 0.500
# - space group = Fm-3m, No. 225
# - calculated formation energy (eV/atom) = 0.117

---

Entry 2:
# Tl3Pt, optimized geometry, DFT PBE
data_Tl3Pt
_cell_length_a 9.523
_cell_length_b 9.523
_cell_length_c 3.789
_cell_angle_alpha 90.00
_cell_angle_beta 90.00
_cell_angle_gamma 141.31
_symmetry_space_group_name_H-M 'P 1'
_symmetry_Int_Tables_number 1
_symmetry_space_group_name_Hall 'P 1'
loop_
_atom_site_label
_atom_site_type_symbol
_atom_site_fract_x
_atom_site_fract_y
_atom_site_fract_z
Tl1 Tl 0.169 0.326 0.750
Tl2 Tl 0.326 0.169 0.250
Tl3 Tl 0.831 0.674 0.250
Tl4 Tl 0.219 0.781 0.750
Pt1 Pt 0.663 0.337 0.750
Tl5 Tl 0.781 0.219 0.250
Pt2 Pt 0.337 0.663 0.250
Tl6 Tl 0.674 0.831 0.750
# - space group = Cmcm, No. 63
# - calculated formation energy (eV/atom) = 0.009

---

Entry 3:
# TlPt2, optimized geometry, DFT PBE
data_TlPt2
_cell_length_a 7.680
_cell_length_b 7.680
_cell_length_c 4.772
_cell_angle_alpha 90.00
_cell_angle_beta 90.00
_cell_angle_gamma 157.55
_symmetry_space_group_name_H-M 'P 1'
_symmetry_Int_Tables_number 1
_symmetry_space_group_name_Hall 'P 1'
loop_
_atom_site_label
_atom_site_type_symbol
_atom_site_fract_x
_atom_site_fract_y
_atom_site_fract_z
Pt1 Pt 0.224 0.776 0.250
Pt2 Pt 0.556 0.444 0.250
Tl1 Tl 0.112 0.888 0.750
Tl2 Tl 0.888 0.112 0.250
Pt3 Pt 0.444 0.556 0.750
Pt4 Pt 0.776 0.224 0.750
# - space group = Cmcm, No. 63
# - calculated formation energy (eV/atom) = 0.086

---

Entry 4:
# Tl2Pt, optimized geometry, DFT PBE
data_Tl2Pt
_cell_length_a 5.712
_cell_length_b 5.712
_cell_length_c 5.712
_cell_angle_alpha 104.31
_cell_angle_beta 104.31
_cell_angle_gamma 120.37
_symmetry_space_group_name_H-M 'P 1'
_symmetry_Int_Tables_number 1
_symmetry_space_group_name_Hall 'P 1'
loop_
_atom_site_label
_atom_site_type_symbol
_atom_site_fract_x
_atom_site_fract_y
_atom_site_fract_z
Pt1 Pt 0.750 0.750 0.000
Tl1 Tl 0.340 0.160 0.500
Tl2 Tl 0.660 0.840 0.500
Tl3 Tl 0.840 0.340 0.179
Pt2 Pt 0.250 0.250 0.000
Tl4 Tl 0.160 0.660 0.821
# - space group = I4/mcm, No. 140
# - calculated formation energy (eV/atom) = -0.069

---

Entry 5:
# Tl3Pt, optimized geometry, DFT PBE
data_Tl3Pt
_cell_length_a 7.959
_cell_length_b 7.959
_cell_length_c 3.466
_cell_angle_alpha 90.00
_cell_angle_beta 90.00
_cell_angle_gamma 94.47
_symmetry_space_group_name_H-M 'P 1'
_symmetry_Int_Tables_number 1
_symmetry_space_group_name_Hall 'P 1'
loop_
_atom_site_label
_atom_site_type_symbol
_atom_site_fract_x
_atom_site_fract_y
_atom_site_fract_z
Tl1 Tl 0.166 0.834 0.250
Pt1 Pt 0.597 0.403 0.250
Tl2 Tl 0.163 0.410 0.250
Tl3 Tl 0.834 0.166 0.750
Tl4 Tl 0.837 0.590 0.750
Pt2 Pt 0.403 0.597 0.750
Tl5 Tl 0.410 0.163 0.750
Tl6 Tl 0.590 0.837 0.250
# - space group = Cmcm, No. 63
# - calculated formation energy (eV/atom) = 0.038

---

Entry 6:
# Tl3Pt2, optimized geometry, DFT PBE
data_Tl3Pt2
_cell_length_a 7.006
_cell_length_b 7.006
_cell_length_c 7.257
_cell_angle_alpha 61.14
_cell_angle_beta 61.14
_cell_angle_gamma 60.00
_symmetry_space_group_name_H-M 'P 1'
_symmetry_Int_Tables_number 1
_symmetry_space_group_name_Hall 'P 1'
loop_
_atom_site_label
_atom_site_type_symbol
_atom_site_fract_x
_atom_site_fract_y
_atom_site_fract_z
Pt1 Pt 0.674 0.674 0.979
Tl1 Tl 0.889 0.250 0.250
Tl2 Tl 0.111 0.750 0.750
Pt2 Pt 0.826 0.826 0.521
Tl3 Tl 0.389 0.111 0.750
Pt3 Pt 0.326 0.326 0.021
Tl4 Tl 0.611 0.889 0.250
Tl5 Tl 0.750 0.389 0.750
Tl6 Tl 0.250 0.611 0.250
Pt4 Pt 0.174 0.174 0.479
# - space group = R-3c, No. 167
# - calculated formation energy (eV/atom) = -0.073

---

Entry 7:
# Tl5Pt, optimized geometry, DFT PBE
data_Tl5Pt
_cell_length_a 3.425
_cell_length_b 3.425
_cell_length_c 14.051
_cell_angle_alpha 90.00
_cell_angle_beta 90.00
_cell_angle_gamma 90.00
_symmetry_space_group_name_H-M 'P 1'
_symmetry_Int_Tables_number 1
_symmetry_space_group_name_Hall 'P 1'
loop_
_atom_site_label
_atom_site_type_symbol
_atom_site_fract_x
_atom_site_fract_y
_atom_site_fract_z
Pt1 Pt 0.500 0.500 0.000
Tl1 Tl 0.500 0.500 0.684
Tl2 Tl 0.000 0.000 0.123
Tl3 Tl 0.000 0.000 0.877
Tl4 Tl 0.500 0.500 0.316
Tl5 Tl 0.000 0.000 0.500
# - space group = P4/mmm, No. 123
# - calculated formation energy (eV/atom) = 0.023

---

Entry 8:
# TlPt, optimized geometry, DFT PBE
data_TlPt
_cell_length_a 11.403
_cell_length_b 3.343
_cell_length_c 6.814
_cell_angle_alpha 90.00
_cell_angle_beta 90.00
_cell_angle_gamma 90.00
_symmetry_space_group_name_H-M 'P 1'
_symmetry_Int_Tables_number 1
_symmetry_space_group_name_Hall 'P 1'
loop_
_atom_site_label
_atom_site_type_symbol
_atom_site_fract_x
_atom_site_fract_y
_atom_site_fract_z
Tl1 Tl 0.302 0.000 0.740
Pt1 Pt 0.381 0.000 0.127
Pt2 Pt 0.000 0.000 0.347
Tl2 Tl 0.000 0.000 0.920
Tl3 Tl 0.198 0.500 0.240
Pt3 Pt 0.119 0.500 0.627
Pt4 Pt 0.619 0.000 0.127
Tl4 Tl 0.802 0.500 0.240
Pt5 Pt 0.881 0.500 0.627
Pt6 Pt 0.500 0.500 0.847
Tl5 Tl 0.500 0.500 0.420
Tl6 Tl 0.698 0.000 0.740
# - space group = Imm2, No. 44
# - calculated formation energy (eV/atom) = 0.001

---

Entry 9:
# Tl3Pt, optimized geometry, DFT PBE
data_Tl3Pt
_cell_length_a 3.823
_cell_length_b 3.823
_cell_length_c 8.816
_cell_angle_alpha 90.00
_cell_angle_beta 90.00
_cell_angle_gamma 120.00
_symmetry_space_group_name_H-M 'P 1'
_symmetry_Int_Tables_number 1
_symmetry_space_group_name_Hall 'P 1'
loop_
_atom_site_label
_atom_site_type_symbol
_atom_site_fract_x
_atom_site_fract_y
_atom_site_fract_z
Pt1 Pt 0.000 0.000 0.000
Tl1 Tl 0.667 0.333 0.201
Tl2 Tl 0.667 0.333 0.799
Tl3 Tl 0.000 0.000 0.500
# - space group = P-6m2, No. 187
# - calculated formation energy (eV/atom) = 0.045

---

Entry 10:
# TlPt, optimized geometry, DFT PBE
data_TlPt
_cell_length_a 6.799
_cell_length_b 6.799
_cell_length_c 6.799
_cell_angle_alpha 37.76
_cell_angle_beta 37.76
_cell_angle_gamma 37.76
_symmetry_space_group_name_H-M 'P 1'
_symmetry_Int_Tables_number 1
_symmetry_space_group_name_Hall 'P 1'
loop_
_atom_site_label
_atom_site_type_symbol
_atom_site_fract_x
_atom_site_fract_y
_atom_site_fract_z
Pt1 Pt 0.165 0.165 0.165
Tl1 Tl 0.399 0.399 0.399
Pt2 Pt 0.835 0.835 0.835
Tl2 Tl 0.601 0.601 0.601
# - space group = R-3m, No. 166
# - calculated formation energy (eV/atom) = 0.032

---

Entry 11:
# Tl2Pt, optimized geometry, DFT PBE
data_Tl2Pt
_cell_length_a 6.722
_cell_length_b 6.722
_cell_length_c 6.722
_cell_angle_alpha 148.99
_cell_angle_beta 152.24
_cell_angle_gamma 42.10
_symmetry_space_group_name_H-M 'P 1'
_symmetry_Int_Tables_number 1
_symmetry_space_group_name_Hall 'P 1'
loop_
_atom_site_label
_atom_site_type_symbol
_atom_site_fract_x
_atom_site_fract_y
_atom_site_fract_z
Tl1 Tl 0.642 0.642 0.000
Pt1 Pt 0.000 0.000 0.000
Tl2 Tl 0.358 0.358 0.000
# - space group = Immm, No. 71
# - calculated formation energy (eV/atom) = 0.037

---

Entry 12:
# Tl2Pt, optimized geometry, DFT PBE
data_Tl2Pt
_cell_length_a 6.387
_cell_length_b 6.387
_cell_length_c 10.771
_cell_angle_alpha 90.00
_cell_angle_beta 90.00
_cell_angle_gamma 120.00
_symmetry_space_group_name_H-M 'P 1'
_symmetry_Int_Tables_number 1
_symmetry_space_group_name_Hall 'P 1'
loop_
_atom_site_label
_atom_site_type_symbol
_atom_site_fract_x
_atom_site_fract_y
_atom_site_fract_z
Pt1 Pt 0.333 0.667 0.557
Tl1 Tl 0.167 0.334 0.750
Tl2 Tl 0.833 0.666 0.250
Pt2 Pt 0.667 0.333 0.443
Tl3 Tl 0.334 0.167 0.250
Tl4 Tl 0.167 0.833 0.750
Tl5 Tl 0.666 0.833 0.750
Tl6 Tl 0.000 0.000 0.000
Tl7 Tl 0.000 0.000 0.500
Pt3 Pt 0.667 0.333 0.057
Pt4 Pt 0.333 0.667 0.943
Tl8 Tl 0.833 0.167 0.250
# - space group = P6_3/mmc, No. 194
# - calculated formation energy (eV/atom) = 0.507

---

Among the records above, which one has the highest calculated formation energy?
number 12